A relaxed structure of HfScW. Source: Alexandria via LeMat-Bulk, functional PBE.

Geometry as POSCAR:
```
HfScW
1.0
9.284 0.000 0.000
0.000 2.775 4.699
0.000 -2.775 4.699
Hf Sc W
4 4 4
Cartesian
1.555 0.000 0.000
2.651 0.000 6.296
6.633 0.000 6.296
7.729 0.000 0.000
2.321 0.000 3.044
4.642 -1.449 4.033
4.642 1.449 4.033
6.963 0.000 3.044
0.000 0.000 4.693
0.000 -1.363 7.016
0.000 1.363 7.016
4.642 0.000 1.604
```

ρ in g/cm3: 11.17
SG: No. 38
Total energy in eV per atom: -9.506
ΔH_f (0 K) in eV per formula unit: 0.72